P:
Entry from the Alexandria database: a relaxed structure of CsBeSb2Te (PBE).

Unit cell a=5.1615 b=5.1615 c=5.6432 alpha=90.00 beta=90.00 gamma=90.00
Fractional coordinates of all 5 atoms:
Sb 0.5000 0.0000 0.0000
Sb 0.0000 0.5000 0.0000
Te 0.0000 0.0000 0.5000
Be 0.0000 0.0000 0.0000
Cs 0.5000 0.5000 0.5000

Space-group type = P4/mmm, No. 123

=====

Q:
Entry from the Alexandria database: a relaxed structure of CsBeSb2Te (PBE).

Unit cell a=6.4448 b=6.4448 c=6.5362 alpha=90.00 beta=90.00 gamma=90.00
Site moments in Bohr magnetons follow the coordinates.
Fractional coordinates of all 5 atoms:
Te 0.0000 0.0000 0.5000  -0.21
Sb 0.0000 0.5000 0.0000  0.24
Sb 0.5000 0.0000 0.0000  0.24
Cs 0.0000 0.0000 0.0000  -0.02
Be 0.5000 0.5000 0.5000  -0.01

Space-group type = P4/mmm, No. 123

=====

P comes first in stability; the runner-up is 1711 meV per atom higher.

=====

P:
Entry from the Alexandria database: a relaxed structure of CsBeSe3 (PBE).

Unit cell a=7.0588 b=7.0588 c=7.0588 alpha=90.00 beta=90.00 gamma=90.00
Site moments in Bohr magnetons follow the coordinates.
Fractional coordinates of all 5 atoms:
Se 0.0000 0.0000 0.5000  1.04
Se 0.5000 0.0000 0.0000  0.80
Se 0.0000 0.5000 0.0000  0.87
Be 0.5000 0.5000 0.5000  0.07
Cs 0.0000 0.0000 0.0000  0.02

Space-group type = Pm-3m, No. 221

=====

Q:
Entry from the Alexandria database: a relaxed structure of CsBeSe3 (PBE).

Unit cell a=6.5083 b=8.1345 c=8.1345 alpha=128.48 beta=98.74 gamma=98.74
Fractional coordinates of all 10 atoms:
Se 0.0770 0.6466 0.5081
Se 0.5770 0.5081 0.6466
Se 0.1186 0.7114 0.0095
Se 0.4663 0.9052 0.0645
Se 0.9663 0.0645 0.9052
Se 0.6186 0.0095 0.7114
Cs 0.0180 0.1600 0.4877
Cs 0.5180 0.4877 0.1600
Be 0.9187 0.7072 0.7580
Be 0.4187 0.7580 0.7072

Space-group type = Cc, No. 9

=====

Q comes first in stability; the runner-up is 2168 meV per atom higher.

=====

P:
Entry from the Alexandria database: a relaxed structure of CsBe3Sn (PBE).

Unit cell a=5.1421 b=5.1421 c=5.1421 alpha=90.00 beta=90.00 gamma=90.00
Fractional coordinates of all 5 atoms:
Sn 0.5000 0.5000 0.5000
Be 0.5000 0.0000 0.0000
Be 0.0000 0.5000 0.0000
Be 0.0000 0.0000 0.5000
Cs 0.0000 0.0000 0.0000

Space-group type = Pm-3m, No. 221

=====

Q:
Entry from the Alexandria database: a relaxed structure of CsBe3Sn (PBE).

Unit cell a=5.0682 b=5.0682 c=5.0682 alpha=90.00 beta=90.00 gamma=90.00
Fractional coordinates of all 5 atoms:
Be 0.5000 0.0000 0.0000
Be 0.0000 0.5000 0.0000
Be 0.0000 0.0000 0.5000
Cs 0.5000 0.5000 0.5000
Sn 0.0000 0.0000 0.0000

Space-group type = Pm-3m, No. 221

=====

Q comes first in stability; the runner-up is 1197 meV per atom higher.

=====

P:
Entry from the Alexandria database: a relaxed structure of CsSrBe3 (PBE).

Unit cell a=5.5725 b=5.5725 c=5.5725 alpha=90.00 beta=90.00 gamma=90.00
Fractional coordinates of all 5 atoms:
Be 0.0000 0.0000 0.5000
Be 0.0000 0.5000 0.0000
Be 0.5000 0.0000 0.0000
Cs 0.0000 0.0000 0.0000
Sr 0.5000 0.5000 0.5000

Space-group type = Pm-3m, No. 221

=====

Q:
Entry from the Alexandria database: a relaxed structure of CsSrBe3 (PBE).

Unit cell a=5.9983 b=5.9983 c=5.9983 alpha=90.00 beta=90.00 gamma=90.00
Fractional coordinates of all 5 atoms:
Cs 0.5000 0.5000 0.5000
Be 0.0000 0.5000 0.0000
Be 0.0000 0.0000 0.5000
Be 0.5000 0.0000 0.0000
Sr 0.0000 0.0000 0.0000

Space-group type = Pm-3m, No. 221

=====

Q comes first in stability; the runner-up is 239 meV per atom higher.

=====

P:
Entry from the Alexandria database: a relaxed structure of CsTaBe3 (PBE).

Unit cell a=5.0323 b=5.0323 c=5.0323 alpha=90.00 beta=90.00 gamma=90.00
Site moments in Bohr magnetons follow the coordinates.
Fractional coordinates of all 5 atoms:
Ta 0.0000 0.0000 0.0000  1.03
Cs 0.5000 0.5000 0.5000  0.06
Be 0.0000 0.5000 0.0000  0.12
Be 0.0000 0.0000 0.5000  0.06
Be 0.5000 0.0000 0.0000  0.12

Space-group type = Pm-3m, No. 221

=====

Q:
Entry from the Alexandria database: a relaxed structure of CsTaBe3 (PBE).

Unit cell a=4.6065 b=4.6065 c=4.6065 alpha=90.00 beta=90.00 gamma=90.00
Fractional coordinates of all 5 atoms:
Be 0.0000 0.0000 0.5000
Be 0.5000 0.0000 0.0000
Be 0.0000 0.5000 0.0000
Cs 0.0000 0.0000 0.0000
Ta 0.5000 0.5000 0.5000

Space-group type = Pm-3m, No. 221

=====

P comes first in stability; the runner-up is 1306 meV per atom higher.

=====

P:
Entry from the Alexandria database: a relaxed structure of CsBeTc3 (PBE).

Unit cell a=4.8939 b=4.8939 c=4.8939 alpha=90.00 beta=90.00 gamma=90.00
Site moments in Bohr magnetons follow the coordinates.
Fractional coordinates of all 5 atoms:
Tc 0.0000 0.5000 0.0000  1.41
Tc 0.5000 0.0000 0.0000  1.40
Tc 0.0000 0.0000 0.5000  1.48
Cs 0.0000 0.0000 0.0000  0.00
Be 0.5000 0.5000 0.5000  -0.08

Space-group type = Pm-3m, No. 221

=====

Q:
Entry from the Alexandria database: a relaxed structure of CsBeTc3 (PBE).

Unit cell a=4.4905 b=4.4905 c=4.4905 alpha=90.00 beta=90.00 gamma=90.00
Site moments in Bohr magnetons follow the coordinates.
Fractional coordinates of all 5 atoms:
Cs 0.5000 0.5000 0.5000  0.15
Tc 0.0000 0.5000 0.0000  1.32
Tc 0.0000 0.0000 0.5000  1.15
Tc 0.5000 0.0000 0.0000  1.08
Be 0.0000 0.0000 0.0000  -0.04

Space-group type = Pm-3m, No. 221

=====

Q comes first in stability; the runner-up is 1724 meV per atom higher.

=====

P:
Entry from the Alexandria database: a relaxed structure of CsTi3Be (PBE).

Unit cell a=4.7201 b=4.7201 c=4.7201 alpha=90.00 beta=90.00 gamma=90.00
Fractional coordinates of all 5 atoms:
Ti 0.5000 0.0000 0.0000
Ti 0.0000 0.0000 0.5000
Ti 0.0000 0.5000 0.0000
Be 0.0000 0.0000 0.0000
Cs 0.5000 0.5000 0.5000

Space-group type = Pm-3m, No. 221

=====

Q:
Entry from the Alexandria database: a relaxed structure of CsTi3Be (PBE).

Unit cell a=4.9217 b=4.9217 c=4.9217 alpha=90.00 beta=90.00 gamma=90.00
Site moments in Bohr magnetons follow the coordinates.
Fractional coordinates of all 5 atoms:
Ti 0.0000 0.5000 0.0000  0.63
Ti 0.0000 0.0000 0.5000  0.60
Ti 0.5000 0.0000 0.0000  0.69
Cs 0.0000 0.0000 0.0000  0.07
Be 0.5000 0.5000 0.5000  -0.03

Space-group type = Pm-3m, No. 221

=====

P comes first in stability; the runner-up is 1242 meV per atom higher.

=====

P:
Entry from the Alexandria database: a relaxed structure of CsBeV (PBE).

Unit cell a=13.8926 b=3.9766 c=3.8794 alpha=62.15 beta=116.43 gamma=105.17
Fractional coordinates of all 6 atoms:
V 0.5369 0.2221 0.0331
V 0.6950 0.2599 0.2669
Cs 0.3062 0.5668 0.0476
Cs 0.9262 0.7206 0.9678
Be 0.6160 0.8959 0.8191
Be 0.6160 0.5852 0.4811

Space-group type = P1, No. 1

=====

Q:
Entry from the Alexandria database: a relaxed structure of CsBeV (PBE).

Unit cell a=22.7959 b=4.3142 c=4.4741 alpha=90.00 beta=90.00 gamma=90.00
Site moments in Bohr magnetons follow the coordinates.
Fractional coordinates of all 12 atoms:
Cs 0.1400 0.7500 0.0017  0.01
Cs 0.8600 0.2500 0.9983  0.01
Cs 0.6400 0.7500 0.4983  0.01
Cs 0.3600 0.2500 0.5017  0.01
Be 0.5000 0.5000 0.5000  0.00
Be 0.5000 0.0000 0.5000  0.00
Be 0.0000 0.0000 0.0000  0.00
Be 0.0000 0.5000 0.0000  0.00
V 0.9984 0.7500 0.5000  0.17
V 0.0016 0.2500 0.5000  0.17
V 0.4984 0.7500 0.0000  0.17
V 0.5016 0.2500 0.0000  0.17

Space-group type = Pnma, No. 62

=====

R:
Entry from the Alexandria database: a relaxed structure of CsBeV (PBE).

Unit cell a=7.5705 b=4.4435 c=8.2812 alpha=79.11 beta=53.00 gamma=66.65
Fractional coordinates of all 6 atoms:
Be 0.0322 0.8102 0.3081
Be 0.0312 0.9657 0.5450
V 0.1848 0.3927 0.4472
V 0.1855 0.2297 0.2533
Cs 0.4891 0.6599 0.6981
Cs 0.7816 0.5123 0.0522

Space-group type = P1, No. 1

=====

S:
Entry from the Alexandria database: a relaxed structure of CsBeV (PBE).

Unit cell a=11.7581 b=3.3804 c=9.0554 alpha=90.00 beta=90.00 gamma=90.00
Fractional coordinates of all 12 atoms:
Be 0.4393 0.2500 0.6932
Be 0.0607 0.7500 0.1932
Be 0.5607 0.7500 0.3068
Be 0.9393 0.2500 0.8068
V 0.5376 0.7500 0.5746
V 0.4624 0.2500 0.4254
V 0.0376 0.7500 0.9254
V 0.9624 0.2500 0.0746
Cs 0.6746 0.7500 0.9335
Cs 0.3254 0.2500 0.0665
Cs 0.8254 0.2500 0.4335
Cs 0.1746 0.7500 0.5665

Space-group type = Pnma, No. 62

=====

P comes first in stability; the runner-up is 124 meV per atom higher.